DFT (GGA-PBE) results for crystalline LiFeAgBr5 at its relaxed geometry.

Summary:
Uncorrected formation energy: -0.6702 eV/atom
Mass density: 3.68 g/cm3

Unit cell a=7.6112 b=7.6112 c=9.8062 alpha=107.76 beta=107.76 gamma=86.41
Site moments in Bohr magnetons follow the coordinates.
Element x y z (fractional)
Li 0.0000 0.0000 0.5000  0.00
Li 0.0000 0.0000 0.0000  0.00
Fe 0.6559 0.3441 0.2500  3.65
Fe 0.3441 0.6559 0.7500  3.65
Ag 0.3488 0.6512 0.2500  0.05
Ag 0.6512 0.3488 0.7500  0.05
Br 0.1024 0.8976 0.2500  0.03
Br 0.8976 0.1024 0.7500  0.03
Br 0.9008 0.3320 0.1490  0.21
Br 0.0992 0.6680 0.8510  0.21
Br 0.6680 0.0992 0.3510  0.21
Br 0.3320 0.9008 0.6490  0.21
Br 0.6867 0.6332 0.4415  0.18
Br 0.3133 0.3668 0.5585  0.18
Br 0.3668 0.3133 0.0585  0.18
Br 0.6332 0.6867 0.9415  0.18

***

DFT (GGA-PBE) results for crystalline RbFe2AgBr8 at its relaxed geometry.

Summary:
Uncorrected formation energy: -0.6953 eV/atom
Mass density: 3.83 g/cm3

Unit cell a=6.9086 b=6.9086 c=9.9083 alpha=90.00 beta=90.00 gamma=120.00
Site moments in Bohr magnetons follow the coordinates.
Element x y z (fractional)
Rb 0.0000 0.0000 0.0000  0.00
Fe 0.6667 0.3333 0.2511  3.65
Fe 0.3333 0.6667 0.7489  3.65
Ag 0.0000 0.0000 0.5000  0.10
Br 0.3333 0.6667 0.9864  0.21
Br 0.3354 0.3238 0.3233  0.20
Br 0.6762 0.0116 0.3233  0.20
Br 0.6667 0.3333 0.0136  0.21
Br 0.3238 0.9884 0.6767  0.20
Br 0.6646 0.6762 0.6767  0.20
Br 0.0116 0.3354 0.6767  0.20
Br 0.9884 0.6646 0.3233  0.20

***

DFT (GGA-PBE) results for crystalline RbFeAgBr5 at its relaxed geometry.

Summary:
Uncorrected formation energy: -0.7911 eV/atom
Mass density: 3.71 g/cm3

Unit cell a=8.2955 b=8.2955 c=9.2926 alpha=101.37 beta=101.37 gamma=106.12
Site moments in Bohr magnetons follow the coordinates.
Element x y z (fractional)
Rb 0.3435 0.6565 0.2500  0.00
Rb 0.6565 0.3435 0.7500  0.00
Fe 0.6769 0.3231 0.2500  3.65
Fe 0.3231 0.6769 0.7500  3.65
Ag 0.0000 0.0000 0.5000  0.04
Ag 0.0000 0.0000 0.0000  0.04
Br 0.0819 0.9181 0.2500  0.04
Br 0.9181 0.0819 0.7500  0.04
Br 0.9038 0.3405 0.1285  0.19
Br 0.0962 0.6595 0.8715  0.19
Br 0.6595 0.0962 0.3715  0.19
Br 0.3405 0.9038 0.6285  0.19
Br 0.7345 0.5855 0.4373  0.19
Br 0.2655 0.4145 0.5627  0.19
Br 0.4145 0.2655 0.0627  0.19
Br 0.5855 0.7345 0.9373  0.19

***

DFT (GGA-PBE) results for crystalline FeAgS2Br at its relaxed geometry.

Summary:
Uncorrected formation energy: 0.2051 eV/atom
Mass density: 4.57 g/cm3

Unit cell a=4.1596 b=6.4577 c=4.1596 alpha=90.00 beta=90.00 gamma=90.00
Site moments in Bohr magnetons follow the coordinates.
Element x y z (fractional)
S 0.0000 0.0000 0.5000  0.04
S 0.5000 0.0000 0.0000  0.03
Br 0.5000 0.5000 0.5000  0.01
Ag 0.0000 0.5000 0.0000  0.01
Fe 0.0000 0.0000 0.0000  0.50

***

DFT (GGA-PBE) results for crystalline FeAgSeBr2 at its relaxed geometry.

Summary:
Offset from the most stable computed form: 0.000 eV per formula unit
Uncorrected formation energy: 0.2252 eV/atom
Mass density: 5.64 g/cm3

Unit cell a=5.1908 b=5.1908 c=4.3985 alpha=90.00 beta=90.00 gamma=90.00
Element x y z (fractional)
Se 0.0000 0.0000 0.5000
Br 0.0000 0.5000 0.0000
Br 0.5000 0.0000 0.0000
Ag 0.5000 0.5000 0.5000
Fe 0.0000 0.0000 0.0000

***

DFT (GGA-PBE) results for crystalline FeAgSe2Br at its relaxed geometry.

Summary:
Offset from the most stable computed form: 0.000 eV per formula unit
Uncorrected formation energy: 0.2411 eV/atom
Mass density: 5.84 g/cm3

Unit cell a=4.5401 b=4.5401 c=5.5352 alpha=90.00 beta=90.00 gamma=90.00
Site moments in Bohr magnetons follow the coordinates.
Element x y z (fractional)
Se 0.0000 0.5000 0.0000  0.19
Se 0.5000 0.0000 0.0000  0.19
Br 0.0000 0.0000 0.5000  0.09
Ag 0.5000 0.5000 0.5000  0.02
Fe 0.0000 0.0000 0.0000  2.66

***

DFT (GGA-PBE) results for crystalline FeAgSeBr2 at its relaxed geometry.

Summary:
Offset from the most stable computed form: 2.273 eV per formula unit
Uncorrected formation energy: 0.6799 eV/atom
Mass density: 4.75 g/cm3

Unit cell a=5.1616 b=5.1616 c=5.2821 alpha=90.00 beta=90.00 gamma=90.00
Site moments in Bohr magnetons follow the coordinates.
Element x y z (fractional)
Se 0.0000 0.0000 0.5000  0.12
Br 0.0000 0.5000 0.0000  0.05
Br 0.5000 0.0000 0.0000  0.05
Ag 0.0000 0.0000 0.0000  0.01
Fe 0.5000 0.5000 0.5000  3.41

***

DFT (GGA-PBE) results for crystalline FeAgSe2Br at its relaxed geometry.

Summary:
Offset from the most stable computed form: 3.099 eV per formula unit
Uncorrected formation energy: 0.8608 eV/atom
Mass density: 5.00 g/cm3

Unit cell a=5.0981 b=5.0981 c=5.1338 alpha=90.00 beta=90.00 gamma=90.00
Site moments in Bohr magnetons follow the coordinates.
Element x y z (fractional)
Se 0.0000 0.5000 0.0000  0.13
Se 0.5000 0.0000 0.0000  0.13
Br 0.0000 0.0000 0.5000  0.06
Ag 0.0000 0.0000 0.0000  0.01
Fe 0.5000 0.5000 0.5000  3.41

***

Copy entry 4 word for word.
DFT (GGA-PBE) results for crystalline FeAgS2Br at its relaxed geometry.

Summary:
Uncorrected formation energy: 0.2051 eV/atom
Mass density: 4.57 g/cm3

Unit cell a=4.1596 b=6.4577 c=4.1596 alpha=90.00 beta=90.00 gamma=90.00
Site moments in Bohr magnetons follow the coordinates.
Element x y z (fractional)
S 0.0000 0.0000 0.5000  0.04
S 0.5000 0.0000 0.0000  0.03
Br 0.5000 0.5000 0.5000  0.01
Ag 0.0000 0.5000 0.0000  0.01
Fe 0.0000 0.0000 0.0000  0.50